Density functional theory data (PBE-GGA) for crystalline ZnPdF2 at its relaxed geometry.

Results
calculated density = 6.5 Mg/m³
ΔE_f (raw) = -1.196 eV/atom
space group = R-3m
offset from the most stable computed form = 0 meV/atom
size of the total moment = 0.000 Bohr magnetons per cell
calculated total energy = -15.0 eV per cell
N(E_F) = 2.41 states/eV/f.u.

Unit cell a=7.5170 b=7.5170 c=7.5170 alpha=22.38 beta=22.38 gamma=22.38
Closest atoms and distances in Å follow each position.
Atoms (fractional coordinates):
F 0.8851 0.8851 0.8851  3 Zn 2.03
F 0.1149 0.1149 0.1149  3 Zn 2.03
Pd 0.0000 0.0000 0.0000  2 F 2.53
Zn 0.5000 0.5000 0.5000  6 F 2.03


Density functional theory data (PBE-GGA) for crystalline HRhAuBr at its relaxed geometry.

Results
calculated density = 9.0 Mg/m³
space group = Cm
offset from the most stable computed form = 57 meV/atom
size of the total moment = 0.030 Bohr magnetons per cell
calculated total energy = -29.5 eV per cell
N(E_F) = 3.76 states/eV/f.u.

Unit cell a=6.2543 b=3.8436 c=6.2024 alpha=90.00 beta=109.85 gamma=90.00
Closest atoms and distances in Å follow each position.
Atoms (fractional coordinates):
Rh 0.7854 0.5000 0.2211  1 H 1.77
Rh 0.7854 0.0000 0.7211  1 H 1.77
Br 0.5433 0.0000 0.3057  3 Rh 2.51-2.61, 1 Au 2.78
Br 0.5433 0.5000 0.8057  3 Rh 2.51-2.61, 1 Au 2.78
Au 0.0705 0.0000 0.1663  2 H 1.93
Au 0.0705 0.5000 0.6663  2 H 1.93
H 0.0486 0.0000 0.6742  1 Rh 1.77, 2 Au 1.93
H 0.0486 0.5000 0.1742  1 Rh 1.77, 2 Au 1.93


Density functional theory data (PBE-GGA) for crystalline Sc2PPb at its relaxed geometry.

Results
calculated density = 6.4 Mg/m³
space group = Fm-3m
offset from the most stable computed form = 586 meV/atom
size of the total moment = 0.000 Bohr magnetons per cell
calculated total energy = -23.4 eV per cell
N(E_F) = 4.47 states/eV/f.u.

Unit cell a=4.9341 b=4.9341 c=4.9341 alpha=60.00 beta=60.00 gamma=60.00
Closest atoms and distances in Å follow each position.
Atoms (fractional coordinates):
P 0.0000 0.0000 0.0000  8 Sc 3.02
Pb 0.5000 0.5000 0.5000  8 Sc 3.02
Sc 0.2500 0.2500 0.2500  4 Pb 3.02, 4 P 3.02
Sc 0.7500 0.7500 0.7500  4 Pb 3.02, 4 P 3.02


Question: The lowest calculated total energy belongs to which entry?
Answer: HRhAuBr